(1)
{
  "formula": "RuIBr3",
  "functional": "PBE",
  "state": "optimized geometry",
  "lattice": [[3.648, -5.843, 0.000], [3.648, 5.843, 0.000], [0.000, 0.000, 7.513]],
  "species": ["Ru", "Ru", "I", "I", "Br", "Br", "Br", "Br", "Br", "Br"],
  "frac_coords": [[0.003, 0.997, 0.750], [0.997, 0.003, 0.250], [0.226, 0.774, 0.750], [0.774, 0.226, 0.250], [0.207, 0.793, 0.250], [0.234, 0.234, 0.000], [0.234, 0.234, 0.500], [0.766, 0.766, 0.000], [0.766, 0.766, 0.500], [0.793, 0.207, 0.750]],
  "n_ef_per_ev_atom": 0.91,
  "mass_density_kg_m3": 4850,
  "sg": "Cmcm",
  "magmom_total_mub_per_atom": 0.21
}

(2)
{
  "formula": "RuIBr3",
  "functional": "PBE",
  "state": "optimized geometry",
  "lattice": [[3.892, -7.770, 0.000], [3.892, 7.770, 0.000], [-3.289, 0.000, 5.513]],
  "species": ["Ru", "Ru", "I", "I", "Br", "Br", "Br", "Br", "Br", "Br"],
  "frac_coords": [[0.067, 0.933, 0.500], [0.933, 0.067, 0.000], [0.578, 0.942, 0.004], [0.942, 0.578, 0.504], [0.058, 0.404, 0.003], [0.152, 0.262, 0.455], [0.262, 0.152, 0.955], [0.404, 0.058, 0.503], [0.741, 0.850, 0.546], [0.850, 0.741, 0.046]],
  "n_ef_per_ev_atom": 0.97,
  "mass_density_kg_m3": 4659,
  "sg": "Cc",
  "magmom_total_mub_per_atom": 0.39
}

(3)
{
  "formula": "RuIBr3",
  "functional": "PBE",
  "state": "optimized geometry",
  "lattice": [[5.120, 0.000, 0.000], [0.000, 5.120, 0.000], [0.000, 0.000, 5.120]],
  "species": ["Ru", "I", "Br", "Br", "Br"],
  "frac_coords": [[0.000, 0.000, 0.000], [0.500, 0.500, 0.500], [0.000, 0.000, 0.500], [0.000, 0.500, 0.000], [0.500, 0.000, 0.000]],
  "n_ef_per_ev_atom": 1.45,
  "mass_density_kg_m3": 5788,
  "sg": "Pm-3m",
  "magmom_total_mub_per_atom": 0.35
}

Unit: eV/atom. Relative energies: (1) 0.015; (2) 0.000; (3) 0.411.

(1)
{
  "formula": "RuI3Br",
  "functional": "PBE",
  "state": "optimized geometry",
  "lattice": [[6.973, 0.000, 0.000], [0.000, 8.751, 0.000], [-0.040, 0.000, 12.966]],
  "species": ["Ru", "Ru", "Ru", "Ru", "I", "I", "I", "I", "I", "I", "I", "I", "I", "I", "I", "I", "Br", "Br", "Br", "Br"],
  "frac_coords": [[0.086, 0.161, 0.101], [0.086, 0.839, 0.601], [0.914, 0.161, 0.399], [0.914, 0.839, 0.899], [0.114, 0.140, 0.575], [0.114, 0.860, 0.075], [0.247, 0.124, 0.287], [0.247, 0.876, 0.787], [0.410, 0.232, 0.011], [0.410, 0.768, 0.511], [0.590, 0.232, 0.489], [0.590, 0.768, 0.989], [0.753, 0.124, 0.213], [0.753, 0.876, 0.713], [0.886, 0.140, 0.925], [0.886, 0.860, 0.425], [0.014, 0.438, 0.123], [0.014, 0.562, 0.623], [0.986, 0.438, 0.377], [0.986, 0.562, 0.877]],
  "n_ef_per_ev_atom": 0.93,
  "mass_density_kg_m3": 4716,
  "sg": "P2/c",
  "magmom_total_mub_per_atom": 0.00
}

(2)
{
  "formula": "RuI3Br",
  "functional": "PBE",
  "state": "optimized geometry",
  "lattice": [[6.004, 0.000, 0.000], [0.000, 7.949, 0.000], [-0.341, 0.000, 6.962]],
  "species": ["Ru", "Ru", "I", "I", "I", "I", "I", "I", "Br", "Br"],
  "frac_coords": [[0.020, 0.250, 0.017], [0.980, 0.750, 0.983], [0.225, 0.000, 0.835], [0.225, 0.500, 0.835], [0.299, 0.250, 0.311], [0.701, 0.750, 0.689], [0.775, 0.000, 0.165], [0.775, 0.500, 0.165], [0.264, 0.750, 0.274], [0.736, 0.250, 0.726]],
  "n_ef_per_ev_atom": 0.63,
  "mass_density_kg_m3": 5614,
  "sg": "P2_1/m",
  "magmom_total_mub_per_atom": 0.00
}

Unit: eV/atom. Relative energies: (1) 0.010; (2) 0.000.

(1)
{
  "formula": "RuI3Br",
  "functional": "PBE",
  "state": "optimized geometry",
  "lattice": [[5.903, 0.000, 0.000], [0.000, 5.903, 0.000], [0.000, 0.000, 5.903]],
  "species": ["Ru", "I", "I", "I", "Br"],
  "frac_coords": [[0.000, 0.000, 0.000], [0.000, 0.500, 0.500], [0.500, 0.000, 0.500], [0.500, 0.500, 0.000], [0.500, 0.500, 0.500]],
  "n_ef_per_ev_atom": 0.86,
  "mass_density_kg_m3": 4534,
  "sg": "Pm-3m",
  "magmom_total_mub_per_atom": 0.63
}

(2)
{
  "formula": "RuI3Br",
  "functional": "PBE",
  "state": "optimized geometry",
  "lattice": [[5.415, 0.000, 0.000], [0.000, 5.415, 0.000], [0.000, 0.000, 5.415]],
  "species": ["Ru", "I", "I", "I", "Br"],
  "frac_coords": [[0.000, 0.000, 0.000], [0.000, 0.000, 0.500], [0.000, 0.500, 0.000], [0.500, 0.000, 0.000], [0.500, 0.500, 0.500]],
  "n_ef_per_ev_atom": 1.43,
  "mass_density_kg_m3": 5875,
  "sg": "Pm-3m",
  "magmom_total_mub_per_atom": 0.35
}

Unit: eV/atom. Relative energies: (1) 0.885; (2) 0.000.

(1)
{
  "formula": "SbRuI2Br",
  "functional": "PBE",
  "state": "optimized geometry",
  "lattice": [[5.451, 0.000, 0.000], [0.000, 5.451, 0.000], [0.000, 0.000, 5.117]],
  "species": ["Sb", "Ru", "I", "I", "Br"],
  "frac_coords": [[0.000, 0.000, 0.000], [0.000, 0.000, 0.500], [0.000, 0.500, 0.500], [0.500, 0.000, 0.500], [0.500, 0.500, 0.000]],
  "n_ef_per_ev_atom": 1.28,
  "mass_density_kg_m3": 6079,
  "sg": "P4/mmm",
  "magmom_total_mub_per_atom": 0.00
}

(2)
{
  "formula": "SbRuI2Br",
  "functional": "PBE",
  "state": "optimized geometry",
  "lattice": [[5.729, 0.000, 0.000], [0.000, 5.729, 0.000], [0.000, 0.000, 5.785]],
  "species": ["Sb", "Ru", "I", "I", "Br"],
  "frac_coords": [[0.000, 0.000, 0.000], [0.500, 0.500, 0.000], [0.000, 0.500, 0.500], [0.500, 0.000, 0.500], [0.000, 0.000, 0.500]],
  "n_ef_per_ev_atom": 0.94,
  "mass_density_kg_m3": 4867,
  "sg": "P4/mmm",
  "magmom_total_mub_per_atom": 0.85
}

Unit: eV/atom. Relative energies: (1) 0.000; (2) 1.170.

(1)
{
  "formula": "Sb2RuIBr",
  "functional": "PBE",
  "state": "optimized geometry",
  "lattice": [[5.133, 0.000, 0.000], [0.000, 5.133, 0.000], [0.000, 0.000, 5.570]],
  "species": ["Sb", "Sb", "Ru", "I", "Br"],
  "frac_coords": [[0.000, 0.500, 0.000], [0.500, 0.000, 0.000], [0.000, 0.000, 0.000], [0.000, 0.000, 0.500], [0.500, 0.500, 0.500]],
  "n_ef_per_ev_atom": 1.19,
  "mass_density_kg_m3": 6238,
  "sg": "P4/mmm",
  "magmom_total_mub_per_atom": 0.00
}

(2)
{
  "formula": "Sb2RuIBr",
  "functional": "PBE",
  "state": "optimized geometry",
  "lattice": [[5.537, 0.000, 0.000], [0.000, 5.537, 0.000], [0.000, 0.000, 5.578]],
  "species": ["Sb", "Sb", "Ru", "I", "Br"],
  "frac_coords": [[0.000, 0.500, 0.000], [0.500, 0.000, 0.000], [0.000, 0.000, 0.500], [0.500, 0.500, 0.500], [0.500, 0.500, 0.000]],
  "n_ef_per_ev_atom": 1.12,
  "mass_density_kg_m3": 5353,
  "sg": "P4/mmm",
  "magmom_total_mub_per_atom": 0.55
}

Unit: eV/atom. Relative energies: (1) 0.000; (2) 1.327.

(1)
{
  "formula": "TeRuI2Br",
  "functional": "PBE",
  "state": "optimized geometry",
  "lattice": [[5.783, 0.000, 0.000], [0.000, 5.783, 0.000], [0.000, 0.000, 5.685]],
  "species": ["Te", "Ru", "I", "I", "Br"],
  "frac_coords": [[0.000, 0.000, 0.000], [0.500, 0.500, 0.000], [0.000, 0.500, 0.500], [0.500, 0.000, 0.500], [0.000, 0.000, 0.500]],
  "n_ef_per_ev_atom": 1.17,
  "mass_density_kg_m3": 4912,
  "sg": "P4/mmm",
  "magmom_total_mub_per_atom": 0.68
}

(2)
{
  "formula": "TeRuI2Br",
  "functional": "PBE",
  "state": "optimized geometry",
  "lattice": [[5.518, 0.000, 0.000], [0.000, 5.518, 0.000], [0.000, 0.000, 5.050]],
  "species": ["Te", "Ru", "I", "I", "Br"],
  "frac_coords": [[0.000, 0.000, 0.000], [0.000, 0.000, 0.500], [0.000, 0.500, 0.500], [0.500, 0.000, 0.500], [0.500, 0.500, 0.000]],
  "n_ef_per_ev_atom": 1.28,
  "mass_density_kg_m3": 6072,
  "sg": "P4/mmm",
  "magmom_total_mub_per_atom": 0.00
}

Unit: eV/atom. Relative energies: (1) 1.032; (2) 0.000.